The following is a DFT calculation (PBE-GGA) of a relaxed MnBe2Ni crystal.

Values from the calculation:
Energy of formation (kJ per mole of atoms): -14
DOS at the Fermi energy (states/eV/atom): 0.565
Calculated total energy (eV/atom): -5.74
SG: Imm2, No. 44

a = 4.4837 Å, b = 4.4837 Å, c = 3.7582 Å
α = 65.21°, β = 65.21°, γ = 34.56°
With the nearest neighbours (Å) after each atom.
Element x y z (fractional)
Ni (0.2638, 0.2638, 0.2356)  6 Be 2.30-2.31, 2 Mn 2.47
Mn (0.4941, 0.4941, 0.5063)  6 Be 2.30-2.40, 3 Ni 2.47-2.58
Be (0.7347, 0.7347, 0.7647)  2 Be 2.20, 4 Ni 2.31, 2 Mn 2.40
Be (0.0073, 0.0073, 0.9934)  2 Be 2.20, 2 Ni 2.30, 4 Mn 2.30-2.31

---

The following is a DFT calculation (PBE-GGA) of a relaxed MnBe2Ni crystal.

Values from the calculation:
Energy of formation (kJ per mole of atoms): -13
DOS at the Fermi energy (states/eV/atom): 0.656
Calculated total energy (eV/atom): -5.74
SG: P4mm, No. 99

a = 2.5698 Å, b = 2.5698 Å, c = 5.6950 Å
α = 90.00°, β = 90.00°, γ = 90.00°
With the nearest neighbours (Å) after each atom.
Element x y z (fractional)
Be (0.5000, 0.5000, 0.2241)  4 Be 2.18, 4 Mn 2.33
Be (0.0000, 0.0000, 0.0114)  4 Be 2.18, 4 Ni 2.23
Ni (0.5000, 0.5000, 0.7847)  4 Be 2.23
Mn (0.0000, 0.0000, 0.4798)  4 Be 2.33, 4 Ni 2.51, 4 Mn 2.57

---

The following is a DFT calculation (PBE-GGA) of a relaxed MnBeNi2 crystal.

Values from the calculation:
Energy of formation (kJ per mole of atoms): -14
DOS at the Fermi energy (states/eV/atom): 0.588
Calculated total energy (eV/atom): -6.26
SG: I-4m2, No. 119

a = 4.3680 Å, b = 4.3680 Å, c = 4.3680 Å
α = 133.67°, β = 133.67°, γ = 67.60°
With the nearest neighbours (Å) after each atom.
Element x y z (fractional)
Be (0.5000, 0.5000, 0.0000)  8 Ni 2.43-2.50, 4 Mn 2.50
Ni (0.2500, 0.7500, 0.5000)  4 Mn 2.43, 4 Ni 2.50, 4 Be 2.50
Ni (0.0000, 0.0000, 0.0000)  4 Be 2.43, 4 Mn 2.50, 4 Ni 2.50
Mn (0.7500, 0.2500, 0.5000)  8 Ni 2.43-2.50, 4 Be 2.50

---

The following is a DFT calculation (PBE-GGA) of a relaxed MnBe3Ni crystal.

Values from the calculation:
Energy above the lowest structure with this stoichiometry (eV per formula unit): 0.00
Energy of formation (kJ per mole of atoms): 65
DOS at the Fermi energy (states/eV/atom): 1.361
Calculated total energy (eV/atom): -4.55
SG: Pm-3m, No. 221

a = 3.8155 Å, b = 3.8155 Å, c = 3.8155 Å
α = 90.00°, β = 90.00°, γ = 90.00°
With the nearest neighbours (Å) after each atom.
Element x y z (fractional)
Be (0.5000, 0.0000, 0.0000)  2 Ni 1.91
Be (0.0000, 0.0000, 0.5000)  2 Ni 1.91
Be (0.0000, 0.5000, 0.0000)  2 Ni 1.91
Ni (0.0000, 0.0000, 0.0000)  6 Be 1.91
Mn (0.5000, 0.5000, 0.5000)  12 Be 2.70

---

The following is a DFT calculation (PBE-GGA) of a relaxed MnBe3Ni crystal.

Values from the calculation:
Energy above the lowest structure with this stoichiometry (eV per formula unit): 1.96
Energy of formation (kJ per mole of atoms): 103
DOS at the Fermi energy (states/eV/atom): 0.428
Calculated total energy (eV/atom): -4.16
SG: Pm-3m, No. 221

a = 3.9003 Å, b = 3.9003 Å, c = 3.9003 Å
α = 90.00°, β = 90.00°, γ = 90.00°
With the nearest neighbours (Å) after each atom.
Element x y z (fractional)
Be (0.5000, 0.0000, 0.0000)  2 Mn 1.95
Be (0.0000, 0.5000, 0.0000)  2 Mn 1.95
Be (0.0000, 0.0000, 0.5000)  2 Mn 1.95
Mn (0.0000, 0.0000, 0.0000)  6 Be 1.95
Ni (0.5000, 0.5000, 0.5000)  12 Be 2.76

---

The following is a DFT calculation (PBE-GGA) of a relaxed Mn2BeNi crystal.

Values from the calculation:
Energy of formation (kJ per mole of atoms): 10
DOS at the Fermi energy (states/eV/atom): 1.185
Calculated total energy (eV/atom): -6.86
SG: R-3m, No. 166

a = 8.1309 Å, b = 8.1309 Å, c = 8.1309 Å
α = 17.29°, β = 17.29°, γ = 17.29°
With the nearest neighbours (Å) after each atom.
Element x y z (fractional)
Mn (0.4973, 0.4973, 0.4973)  3 Be 2.40, 6 Mn 2.44, 3 Ni 2.50
Mn (0.0027, 0.0027, 0.0027)  3 Be 2.40, 6 Mn 2.44, 3 Ni 2.50
Be (0.7500, 0.7500, 0.7500)  6 Mn 2.40, 6 Be 2.44
Ni (0.2500, 0.2500, 0.2500)  6 Ni 2.44, 6 Mn 2.50

---

The following is a DFT calculation (PBE-GGA) of a relaxed MnBeNi2 crystal.

Values from the calculation:
Energy of formation (kJ per mole of atoms): -6
DOS at the Fermi energy (states/eV/atom): 0.894
Calculated total energy (eV/atom): -6.18
SG: R-3m, No. 166

a = 7.8715 Å, b = 7.8715 Å, c = 7.8715 Å
α = 17.96°, β = 17.96°, γ = 17.96°
With the nearest neighbours (Å) after each atom.
Element x y z (fractional)
Ni (0.5055, 0.5055, 0.5055)  3 Be 2.30, 6 Ni 2.46, 3 Mn 2.50
Ni (0.9945, 0.9945, 0.9945)  3 Be 2.30, 6 Ni 2.46, 3 Mn 2.50
Be (0.2500, 0.2500, 0.2500)  6 Ni 2.30, 6 Be 2.46
Mn (0.7500, 0.7500, 0.7500)  6 Mn 2.46, 6 Ni 2.50

---

The following is a DFT calculation (PBE-GGA) of a relaxed MnBeNi crystal.

Values from the calculation:
Energy above the lowest structure with this stoichiometry (eV per formula unit): 0.09
Energy of formation (kJ per mole of atoms): -15
DOS at the Fermi energy (states/eV/atom): 0.955
Calculated total energy (eV/atom): -6.38
SG: I4mm, No. 107

a = 5.0520 Å, b = 5.0521 Å, c = 2.4852 Å
α = 75.76°, β = 75.76°, γ = 28.48°
With the nearest neighbours (Å) after each atom.
Element x y z (fractional)
Mn (0.3415, 0.3415, 0.6585)  4 Be 2.34, 4 Mn 2.49, 4 Ni 2.50
Ni (0.6533, 0.6533, 0.3467)  4 Be 2.25, 4 Ni 2.49, 4 Mn 2.50
Be (0.0052, 0.0052, 0.9948)  4 Ni 2.25, 4 Mn 2.34, 4 Be 2.49